1.
A plane-wave DFT calculation with GGA-PBE was carried out for a geometry-optimized MnI structure.

```
MnI
1.0
11.2630 0.0000 0.0000
0.0000 3.7879 0.0000
0.0000 0.0000 8.0733
I Mn
6 6
direct
0.0000 0.2569 0.8691
0.6853 0.7558 0.7723
0.5000 0.7431 0.3691
0.3147 0.7558 0.7723
0.1853 0.2442 0.2723
0.8147 0.2442 0.2723
0.1260 0.2476 0.5953
0.8740 0.2476 0.5953
0.0000 0.7472 0.3978
0.3740 0.7524 0.0953
0.6260 0.7524 0.0953
0.5000 0.2528 0.8978
```

## Properties
- Energy relative to the elements, uncorrected: 0.18 eV/atom
- Excess energy over the best structure of this formula in the dataset: 103 meV/atom
- Electronic total energy: -62.1 eV per cell

2.
A plane-wave DFT calculation with GGA-PBE was carried out for a geometry-optimized MnI structure.

```
MnI
1.0
3.8948 0.0000 0.0000
0.0000 6.8138 0.0000
0.0000 0.0000 14.9495
Mn I
6 6
direct
0.0000 0.3779 0.0000
0.0000 0.0907 0.3062
0.5000 0.9093 0.1938
0.0000 0.0907 0.6938
0.5000 0.6221 0.5000
0.5000 0.9093 0.8062
0.0000 0.6211 0.8578
0.5000 0.3789 0.3578
0.5000 0.3789 0.6422
0.0000 0.9064 0.5000
0.0000 0.6211 0.1422
0.5000 0.0936 0.0000
```

## Properties
- Energy relative to the elements, uncorrected: 0.30 eV/atom
- Excess energy over the best structure of this formula in the dataset: 215 meV/atom
- Electronic total energy: -60.8 eV per cell

3.
A plane-wave DFT calculation with GGA-PBE was carried out for a geometry-optimized MnI structure.

```
MnI
1.0
-6.2198 4.3798 -4.4705
-8.4830 -7.7393 4.2201
-1.2889 5.1328 6.8221
I Mn
16 16
direct
0.7707 0.5000 0.0000
0.4793 0.7500 0.7500
0.9793 0.2500 0.7500
0.0207 0.2500 0.2500
0.7293 0.5000 0.5000
0.9793 0.7500 0.2500
0.2707 0.0000 0.0000
0.2293 0.5000 0.0000
0.5207 0.2500 0.7500
0.0207 0.7500 0.7500
0.7293 0.0000 0.0000
0.2707 0.5000 0.5000
0.7707 0.0000 0.5000
0.4793 0.2500 0.2500
0.5207 0.7500 0.2500
0.2293 0.0000 0.5000
0.2500 0.1390 0.7500
0.0000 0.6110 0.5000
0.7500 0.1390 0.2500
0.2500 0.6390 0.2500
0.5000 0.8890 0.5000
0.0000 0.1110 0.0000
0.0000 0.3890 0.5000
0.7500 0.6390 0.7500
0.7500 0.3610 0.2500
0.7500 0.8610 0.7500
0.2500 0.3610 0.7500
0.5000 0.6110 0.0000
0.0000 0.8890 0.0000
0.5000 0.1110 0.5000
0.2500 0.8610 0.2500
0.5000 0.3890 0.0000
```

## Properties
- Energy relative to the elements, uncorrected: 0.26 eV/atom
- Excess energy over the best structure of this formula in the dataset: 184 meV/atom
- Electronic total energy: -163.0 eV per cell

4.
A plane-wave DFT calculation with GGA-PBE was carried out for a geometry-optimized MnI structure.

```
MnI
1.0
6.2442 0.0000 0.0000
0.0000 6.2442 0.0000
0.0000 0.0000 6.2442
I Mn
4 4
direct
0.5000 0.0000 0.5000
0.0000 0.0000 0.0000
0.0000 0.5000 0.5000
0.5000 0.5000 0.0000
0.7500 0.7500 0.2500
0.7500 0.2500 0.7500
0.2500 0.2500 0.2500
0.2500 0.7500 0.7500
```

## Properties
- Energy relative to the elements, uncorrected: 0.41 eV/atom
- Excess energy over the best structure of this formula in the dataset: 325 meV/atom
- Electronic total energy: -39.6 eV per cell

5.
A plane-wave DFT calculation with GGA-PBE was carried out for a geometry-optimized MnI structure.

```
MnI
1.0
-4.7215 1.4315 -6.1984
4.8665 -4.1586 -4.6674
-2.1520 -3.4610 0.8399
Mn I
4 4
direct
0.3867 0.6133 0.0000
0.6133 0.3867 0.0000
0.1133 0.1133 0.5000
0.8867 0.8867 0.5000
0.7791 0.2209 0.5000
0.2209 0.7791 0.5000
0.7209 0.7209 0.0000
0.2791 0.2791 0.0000
```

## Properties
- Energy relative to the elements, uncorrected: 0.26 eV/atom
- Excess energy over the best structure of this formula in the dataset: 177 meV/atom
- Electronic total energy: -40.8 eV per cell

6.
A plane-wave DFT calculation with GGA-PBE was carried out for a geometry-optimized MnI structure.

```
MnI
1.0
7.7052 0.0000 0.0000
0.0000 7.7052 0.0000
0.0000 0.0000 7.7052
I Mn
6 6
direct
0.5000 0.0000 0.7500
0.0000 0.7500 0.5000
0.0000 0.2500 0.5000
0.7500 0.5000 0.0000
0.2500 0.5000 0.0000
0.5000 0.0000 0.2500
0.5000 0.7500 0.0000
0.7500 0.0000 0.5000
0.2500 0.0000 0.5000
0.5000 0.2500 0.0000
0.0000 0.5000 0.2500
0.0000 0.5000 0.7500
```

## Properties
- Energy relative to the elements, uncorrected: 0.50 eV/atom
- Excess energy over the best structure of this formula in the dataset: 419 meV/atom
- Electronic total energy: -58.3 eV per cell

7.
A plane-wave DFT calculation with GGA-PBE was carried out for a geometry-optimized MnI structure.

```
MnI
1.0
-2.2641 -1.9025 -7.9345
-0.0858 -8.2283 1.9975
-8.1589 0.6145 2.1808
I Mn
8 8
direct
0.8030 0.1970 0.1970
0.1970 0.8030 0.1970
0.8030 0.8030 0.8030
0.3030 0.3030 0.3030
0.6970 0.6970 0.3030
0.1970 0.1970 0.8030
0.3030 0.6970 0.6970
0.6970 0.3030 0.6970
0.1128 0.1128 0.1128
0.8872 0.8872 0.1128
0.6128 0.6128 0.6128
0.3872 0.6128 0.3872
0.8872 0.1128 0.8872
0.6128 0.3872 0.3872
0.1128 0.8872 0.8872
0.3872 0.3872 0.6128
```

## Properties
- Energy relative to the elements, uncorrected: 0.20 eV/atom
- Excess energy over the best structure of this formula in the dataset: 123 meV/atom
- Electronic total energy: -82.5 eV per cell

8.
A plane-wave DFT calculation with GGA-PBE was carried out for a geometry-optimized MnI3 structure.

```
MnI3
1.0
-1.8685 -3.0329 -0.6307
7.1248 -1.9249 -1.4760
1.6013 -3.5595 12.3716
I Mn
6 2
direct
0.6798 0.3597 0.2500
0.3202 0.6403 0.7500
0.9011 0.8022 0.3942
0.0989 0.1978 0.6058
0.0989 0.1978 0.8942
0.9011 0.8022 0.1058
0.3264 0.6529 0.2500
0.6736 0.3471 0.7500
```

## Properties
- Energy relative to the elements, uncorrected: -0.23 eV/atom
- Electronic total energy: -29.5 eV per cell

9.
A plane-wave DFT calculation with GGA-PBE was carried out for a geometry-optimized MnI2 structure.

```
MnI2
1.0
-0.8737 2.5756 -3.1436
1.9961 -3.5718 -0.7329
-26.5978 -14.0236 -4.0971
Mn I
4 8
direct
0.0000 0.0000 0.1875
0.6667 0.3333 0.4375
0.6667 0.3333 0.9375
0.3333 0.6667 0.6875
0.3333 0.6667 0.1330
0.6667 0.3333 0.2421
0.0000 0.0000 0.7420
0.3333 0.6667 0.3830
0.0000 0.0000 0.4920
0.6667 0.3333 0.6329
0.0000 0.0000 0.9920
0.3333 0.6667 0.8830
```

## Properties
- Energy relative to the elements, uncorrected: -0.43 eV/atom
- Electronic total energy: -54.3 eV per cell

10.
A plane-wave DFT calculation with GGA-PBE was carried out for a geometry-optimized MnI3 structure.

```
MnI3
1.0
2.7979 -0.6627 4.8403
-2.8129 -1.1163 4.7474
0.3730 -5.0975 2.3607
I Mn
3 1
direct
0.7500 0.7500 0.7500
0.2500 0.2500 0.2500
0.5000 0.5000 0.5000
0.0000 0.0000 0.0000
```

## Properties
- Energy relative to the elements, uncorrected: 0.46 eV/atom
- Electronic total energy: -12.0 eV per cell

11.
A plane-wave DFT calculation with GGA-PBE was carried out for a geometry-optimized MnI structure.

```
MnI
1.0
-3.2509 -0.9005 4.8099
2.1050 -5.4703 0.3986
4.4176 1.9440 3.3497
Mn I
4 4
direct
0.0000 0.0000 0.0000
0.5000 0.5000 0.0000
0.5000 0.0000 0.5000
0.0000 0.5000 0.5000
0.0000 0.0000 0.5000
0.5000 0.0000 0.0000
0.5000 0.5000 0.5000
0.0000 0.5000 0.0000
```

## Properties
- Energy relative to the elements, uncorrected: 0.43 eV/atom
- Excess energy over the best structure of this formula in the dataset: 348 meV/atom
- Electronic total energy: -39.4 eV per cell

12.
A plane-wave DFT calculation with GGA-PBE was carried out for a geometry-optimized MnI2 structure.

```
MnI2
1.0
4.1569 0.0000 0.0000
-2.0785 3.6000 0.0000
0.0000 0.0000 7.5265
Mn I
1 2
direct
0.0000 0.0000 0.0000
0.6667 0.3333 0.7803
0.3333 0.6667 0.2197
```

## Properties
- Energy relative to the elements, uncorrected: -0.43 eV/atom
- Electronic total energy: -13.6 eV per cell

13.
A plane-wave DFT calculation with GGA-PBE was carried out for a geometry-optimized MnI structure.

```
MnI
1.0
6.7485 0.0000 0.0000
0.0000 9.2412 0.0000
0.0000 0.0000 7.9313
Mn I
8 8
direct
0.6667 0.6282 0.4649
0.3333 0.1282 0.0351
0.8333 0.3718 0.9649
0.5608 0.2700 0.8890
0.9392 0.7300 0.3890
0.0608 0.2300 0.1110
0.1667 0.8718 0.5351
0.4392 0.7700 0.6110
0.7528 0.3798 0.6197
0.2520 0.4248 0.9384
0.2472 0.8798 0.8803
0.7480 0.9248 0.5616
0.7472 0.6202 0.1197
0.2528 0.1202 0.3803
0.7520 0.0752 0.0616
0.2480 0.5752 0.4384
```

## Properties
- Energy relative to the elements, uncorrected: 0.48 eV/atom
- Excess energy over the best structure of this formula in the dataset: 394 meV/atom
- Electronic total energy: -78.2 eV per cell

14.
A plane-wave DFT calculation with GGA-PBE was carried out for a geometry-optimized MnI structure.

```
MnI
1.0
11.5838 0.0000 0.0000
0.0000 11.5838 0.0000
0.0000 0.0000 4.0343
I Mn
8 8
direct
0.2480 0.5561 0.0000
0.5561 0.7520 0.0000
0.4439 0.2480 0.0000
0.7520 0.4439 0.0000
0.0561 0.2520 0.5000
0.2520 0.9439 0.5000
0.9439 0.7480 0.5000
0.7480 0.0561 0.5000
0.2042 0.3174 0.0000
0.3174 0.7958 0.0000
0.8174 0.2958 0.5000
0.2958 0.1826 0.5000
0.7042 0.8174 0.5000
0.7958 0.6826 0.0000
0.6826 0.2042 0.0000
0.1826 0.7042 0.5000
```

## Properties
- Energy relative to the elements, uncorrected: 0.26 eV/atom
- Excess energy over the best structure of this formula in the dataset: 174 meV/atom
- Electronic total energy: -81.7 eV per cell

15.
A plane-wave DFT calculation with GGA-PBE was carried out for a geometry-optimized MnI structure.

```
MnI
1.0
-3.2524 -1.7430 11.2766
7.6454 -9.0373 0.8082
2.7056 2.3917 1.1500
I Mn
8 8
direct
0.4363 0.2338 0.5000
0.7662 0.4363 0.5000
0.2662 0.9363 0.0000
0.2338 0.5637 0.5000
0.7338 0.0637 0.0000
0.0637 0.2662 0.0000
0.5637 0.7662 0.5000
0.9363 0.7338 0.0000
0.5555 0.9231 0.0000
0.4231 0.9445 0.5000
0.9445 0.5769 0.5000
0.5769 0.0555 0.5000
0.9231 0.4445 0.0000
0.0555 0.4231 0.5000
0.0769 0.5555 0.0000
0.4445 0.0769 0.0000
```

## Properties
- Energy relative to the elements, uncorrected: 0.08 eV/atom
- Excess energy over the best structure of this formula in the dataset: 0 meV/atom
- Electronic total energy: -84.5 eV per cell

16.
A plane-wave DFT calculation with GGA-PBE was carried out for a geometry-optimized MnMoI2 structure.

```
MnMoI2
1.0
-5.7650 0.2690 -1.4444
1.4184 -0.5059 -5.7555
-2.5486 -5.9199 -3.1825
I Mn Mo
4 2 2
direct
0.1472 0.6250 0.2500
0.3750 0.3972 0.7500
0.8750 0.8528 0.7500
0.6028 0.1250 0.2500
0.2500 0.7500 0.5000
0.5000 0.5000 0.0000
0.0000 0.0000 0.0000
0.7500 0.2500 0.5000
```

## Properties
- Energy relative to the elements, uncorrected: 1.19 eV/atom
- Excess energy over the best structure of this formula in the dataset: 0 meV/atom
- Electronic total energy: -36.7 eV per cell

17.
A plane-wave DFT calculation with GGA-PBE was carried out for a geometry-optimized MnMo2I structure.

```
MnMo2I
1.0
1.8360 0.1647 4.1254
-2.0162 2.3687 3.2774
-1.9864 -2.1466 3.4443
Mo I Mn
2 1 1
direct
0.2500 0.2500 0.2500
0.7500 0.7500 0.7500
0.5000 0.5000 0.5000
0.0000 0.0000 0.0000
```

## Properties
- Energy relative to the elements, uncorrected: 0.78 eV/atom
- Excess energy over the best structure of this formula in the dataset: 0 meV/atom
- Electronic total energy: -29.3 eV per cell

18.
A plane-wave DFT calculation with GGA-PBE was carried out for a geometry-optimized MnMoI2 structure.

```
MnMoI2
1.0
0.0000 3.3409 3.3409
3.3409 0.0000 3.3409
3.3409 3.3409 0.0000
Mn Mo I
1 1 2
direct
0.0000 0.0000 0.0000
0.5000 0.5000 0.5000
0.2500 0.2500 0.2500
0.7500 0.7500 0.7500
```

## Properties
- Energy relative to the elements, uncorrected: 1.19 eV/atom
- Excess energy over the best structure of this formula in the dataset: 3 meV/atom
- Electronic total energy: -18.3 eV per cell

19.
A plane-wave DFT calculation with GGA-PBE was carried out for a geometry-optimized MnMo2I structure.

```
MnMo2I
1.0
-4.2931 1.2749 -3.0879
0.3143 -4.8516 -2.4401
-5.7806 -4.1869 1.5166
Mo I Mn
4 2 2
direct
0.8750 0.7970 0.7500
0.5470 0.1250 0.2500
0.3750 0.4530 0.7500
0.2030 0.6250 0.2500
0.0000 0.0000 0.0000
0.7500 0.2500 0.5000
0.5000 0.5000 0.0000
0.2500 0.7500 0.5000
```

## Properties
- Energy relative to the elements, uncorrected: 1.31 eV/atom
- Excess energy over the best structure of this formula in the dataset: 535 meV/atom
- Electronic total energy: -54.3 eV per cell

20.
A plane-wave DFT calculation with GGA-PBE was carried out for a geometry-optimized MnMoIN2 structure.

```
MnMoIN2
1.0
3.9552 0.0000 0.0000
0.0000 3.9552 0.0000
0.0000 0.0000 5.7772
N Mo I Mn
2 1 1 1
direct
0.0000 0.5000 0.0000
0.5000 0.0000 0.0000
0.0000 0.0000 0.0000
0.0000 0.0000 0.5000
0.5000 0.5000 0.5000
```

## Properties
- Energy relative to the elements, uncorrected: 0.75 eV/atom
- Excess energy over the best structure of this formula in the dataset: 0 meV/atom
- Electronic total energy: -34.5 eV per cell

21.
A plane-wave DFT calculation with GGA-PBE was carried out for a geometry-optimized MnMoIN2 structure.

```
MnMoIN2
1.0
-3.4093 0.2819 -1.6576
1.6530 -0.1238 -3.4209
-0.4356 -5.3642 -0.0164
N I Mn Mo
2 1 1 1
direct
0.5000 0.0000 0.0000
0.0000 0.5000 0.0000
0.0000 0.0000 0.5000
0.0000 0.0000 0.0000
0.5000 0.5000 0.5000
```

## Properties
- Energy relative to the elements, uncorrected: 1.37 eV/atom
- Excess energy over the best structure of this formula in the dataset: 621 meV/atom
- Electronic total energy: -31.4 eV per cell

22.
A plane-wave DFT calculation with GGA-PBE was carried out for a geometry-optimized Rb2MnMoI6 structure.

```
Rb2MnMoI6
1.0
-5.1453 4.9409 4.0804
-6.0081 -1.9001 -5.2754
-7.1543 -2.9301 2.8022
Mn Rb I Mo
1 2 6 1
direct
0.5000 0.5000 0.0000
0.2500 0.7500 0.5000
0.7500 0.2500 0.5000
0.2484 0.2484 0.5033
0.7513 0.2487 0.0000
0.2487 0.7513 0.0000
0.7516 0.7516 0.4967
0.2487 0.2487 0.0000
0.7513 0.7513 0.0000
0.0000 0.0000 0.0000
```

## Properties
- Energy relative to the elements, uncorrected: -0.59 eV/atom
- Electronic total energy: -37.1 eV per cell